Entry 1:
A plane-wave DFT calculation with GGA-PBE was carried out for a relaxed structure of AlCuGe.

Unit cell a=7.180 b=4.131 c=7.174 alpha=90.00 beta=110.03 gamma=90.00
Sites, in units of the cell vectors:
Al  0.125  0.000  0.379
Al  0.375  0.500  0.621
Al  0.625  0.500  0.379
Al  0.875  0.000  0.621
Cu  0.249  0.500  0.250
Cu  0.251  0.000  0.750
Cu  0.749  0.000  0.250
Cu  0.751  0.500  0.750
Ge  0.122  0.500  0.864
Ge  0.378  0.000  0.136
Ge  0.622  0.000  0.864
Ge  0.878  0.500  0.136

## Properties
Magnetic moment, μB/f.u.: 0.0
Formation energy from the elements, eV per formula unit: -0.042

Entry 2:
A plane-wave DFT calculation with GGA-PBE was carried out for a relaxed structure of CePrSi2Pt5.

Unit cell a=4.319 b=4.319 c=8.923 alpha=90.00 beta=90.00 gamma=90.00
Sites, in units of the cell vectors:
Ce  0.000  0.000  0.000
Pr  0.000  0.000  0.500
Si  0.500  0.500  0.136
Si  0.500  0.500  0.864
Pt  0.000  0.500  0.260
Pt  0.000  0.500  0.740
Pt  0.500  0.000  0.260
Pt  0.500  0.000  0.740
Pt  0.500  0.500  0.500

## Properties
Magnetic moment, μB/f.u.: 0.8
E, eV per atom: -6.75

Entry 3:
A plane-wave DFT calculation with GGA-PBE was carried out for a relaxed structure of Tb7PmY5.

Unit cell a=8.736 b=8.736 c=8.736 alpha=134.64 beta=100.32 gamma=96.79
Sites, in units of the cell vectors:
Tb  0.000  0.000  0.000
Tb  0.077  0.749  0.328
Tb  0.303  0.303  0.000
Tb  0.422  0.749  0.672
Tb  0.498  0.998  0.500
Tb  0.580  0.251  0.329
Tb  0.921  0.251  0.671
Pm  0.699  0.699  0.000
Y  0.002  0.502  0.500
Y  0.272  0.265  0.539
Y  0.272  0.733  0.007
Y  0.726  0.265  0.993
Y  0.726  0.733  0.461

## Properties
Magnetic moment, μB/f.u.: 0.0
Formation energy from the elements, eV per formula unit: 3.415

Entry 4:
A plane-wave DFT calculation with GGA-PBE was carried out for a relaxed structure of CeTl5Cl8.

Unit cell a=7.903 b=8.061 c=8.670 alpha=107.88 beta=106.94 gamma=108.45
Sites, in units of the cell vectors:
Ce  0.000  0.000  0.000
Tl  0.153  0.915  0.524
Tl  0.319  0.565  0.875
Tl  0.503  0.617  0.439
Tl  0.673  0.166  0.357
Tl  0.760  0.390  0.927
Cl  0.029  0.340  0.243
Cl  0.233  0.837  0.169
Cl  0.391  0.253  0.077
Cl  0.420  0.313  0.580
Cl  0.588  0.913  0.824
Cl  0.793  0.822  0.179
Cl  0.925  0.667  0.709
Cl  0.954  0.141  0.727

## Properties
Magnetic moment, μB/f.u.: 1.0
E, eV per atom: -3.68

Entry 5:
A plane-wave DFT calculation with GGA-PBE was carried out for a relaxed structure of PaHgSe2.

Unit cell a=3.540 b=3.540 c=8.828 alpha=90.00 beta=90.00 gamma=90.00
Sites, in units of the cell vectors:
Pa  0.000  0.000  0.000
Hg  0.000  0.000  0.500
Se  0.500  0.500  0.182
Se  0.500  0.500  0.818

## Properties
Magnetic moment, μB/f.u.: 0.4
Distance to the lowest polymorph of the same formula, eV per formula unit: 0.142

Entry 6:
A plane-wave DFT calculation with GGA-PBE was carried out for a relaxed structure of Ac2MgAg10.

Unit cell a=5.973 b=11.382 c=9.701 alpha=90.00 beta=90.41 gamma=90.00
Sites, in units of the cell vectors:
Ac  0.002  0.079  0.226
Ac  0.002  0.421  0.726
Ac  0.998  0.579  0.274
Ac  0.998  0.921  0.774
Mg  0.500  0.000  0.000
Mg  0.500  0.500  0.500
Ag  0.228  0.684  0.581
Ag  0.228  0.816  0.081
Ag  0.229  0.185  0.919
Ag  0.229  0.315  0.419
Ag  0.497  0.053  0.732
Ag  0.497  0.447  0.232
Ag  0.497  0.620  0.039
Ag  0.497  0.880  0.539
Ag  0.498  0.704  0.320
Ag  0.498  0.796  0.820
Ag  0.502  0.204  0.180
Ag  0.502  0.296  0.680
Ag  0.503  0.120  0.461
Ag  0.503  0.380  0.961
Ag  0.503  0.553  0.768
Ag  0.503  0.947  0.268
Ag  0.771  0.685  0.581
Ag  0.771  0.815  0.081
Ag  0.772  0.184  0.919
Ag  0.772  0.316  0.419

## Properties
Magnetic moment, μB/f.u.: 0.0
Formation energy from the elements, eV per formula unit: -0.447

Entry 7:
A plane-wave DFT calculation with GGA-PBE was carried out for a relaxed structure of Sr2Ca7Cd.

Unit cell a=8.812 b=8.812 c=8.812 alpha=60.00 beta=60.00 gamma=60.00
Sites, in units of the cell vectors:
Sr  0.250  0.250  0.250
Sr  0.750  0.750  0.750
Ca  0.000  0.000  0.000
Ca  0.263  0.263  0.737
Ca  0.263  0.737  0.263
Ca  0.263  0.737  0.737
Ca  0.737  0.263  0.263
Ca  0.737  0.263  0.737
Ca  0.737  0.737  0.263
Cd  0.500  0.500  0.500

## Properties
Magnetic moment, μB/f.u.: 0.0
Formation energy from the elements, eV per formula unit: 2.146

Entry 8:
A plane-wave DFT calculation with GGA-PBE was carried out for a relaxed structure of MgPSe2.

Unit cell a=3.606 b=3.606 c=18.235 alpha=90.00 beta=90.00 gamma=90.00
Sites, in units of the cell vectors:
Mg  0.000  0.000  0.000
Mg  0.500  0.500  0.500
P  0.000  0.500  0.750
P  0.500  0.000  0.250
Se  0.000  0.000  0.500
Se  0.000  0.500  0.250
Se  0.500  0.000  0.750
Se  0.500  0.500  0.000

## Properties
Magnetic moment, μB/f.u.: 0.0
Distance to the lowest polymorph of the same formula, eV per formula unit: 0.956

Entry 9:
A plane-wave DFT calculation with GGA-PBE was carried out for a relaxed structure of Cr2CoNiI.

Unit cell a=4.600 b=4.600 c=4.801 alpha=90.00 beta=90.00 gamma=90.00
Sites, in units of the cell vectors:
Cr  0.000  0.500  0.000
Cr  0.500  0.000  0.000
Co  0.000  0.000  0.500
Ni  0.500  0.500  0.000
I  0.500  0.500  0.500

## Properties
Magnetic moment, μB/f.u.: 8.3
E, eV per atom: -5.22

Entry 10:
A plane-wave DFT calculation with GGA-PBE was carried out for a relaxed structure of CaZr2.

Unit cell a=3.261 b=3.261 c=15.605 alpha=90.00 beta=90.00 gamma=90.00
Sites, in units of the cell vectors:
Ca  0.250  0.250  0.107
Ca  0.750  0.750  0.893
Zr  0.250  0.250  0.428
Zr  0.250  0.250  0.710
Zr  0.750  0.750  0.290
Zr  0.750  0.750  0.572

## Properties
Magnetic moment, μB/f.u.: 0.0
Distance to the lowest polymorph of the same formula, eV per formula unit: 0.019
Formation energy from the elements, eV per formula unit: 0.477

Entry 11:
A plane-wave DFT calculation with GGA-PBE was carried out for a relaxed structure of HgTeN2F.

Unit cell a=4.298 b=4.298 c=4.298 alpha=90.00 beta=90.00 gamma=90.00
Sites, in units of the cell vectors:
Hg  0.000  0.000  0.000
Te  0.500  0.500  0.500
N  0.000  0.500  0.000
N  0.500  0.000  0.000
F  0.000  0.000  0.500

## Properties
Magnetic moment, μB/f.u.: 0.0
Distance to the lowest polymorph of the same formula, eV per formula unit: 3.165

Entry 12:
A plane-wave DFT calculation with GGA-PBE was carried out for a relaxed structure of TaTiNiIr.

Unit cell a=6.233 b=6.233 c=6.233 alpha=90.00 beta=90.00 gamma=90.00
Sites, in units of the cell vectors:
Ta  0.000  0.000  0.000
Ta  0.000  0.500  0.500
Ta  0.500  0.000  0.500
Ta  0.500  0.500  0.000
Ti  0.000  0.000  0.500
Ti  0.000  0.500  0.000
Ti  0.500  0.000  0.000
Ti  0.500  0.500  0.500
Ni  0.250  0.250  0.250
Ni  0.250  0.750  0.750
Ni  0.750  0.250  0.750
Ni  0.750  0.750  0.250
Ir  0.250  0.250  0.750
Ir  0.250  0.750  0.250
Ir  0.750  0.250  0.250
Ir  0.750  0.750  0.750

## Properties
Magnetic moment, μB/f.u.: 0.0
Formation energy from the elements, eV per formula unit: -1.720